No. 1
Material: LiAcScPd
Method: DFT, PBE
State: relaxed

The structure in POSCAR format:
```
LiAcScPd
1.0
5.151 0.000 0.000
2.576 4.461 0.000
2.576 1.487 4.206
Ac Pd Sc Li
1 1 1 1
Direct
0.250 0.250 0.250 Ac
0.500 0.500 0.500 Pd
0.750 0.750 0.750 Sc
0.000 0.000 0.000 Li
```

Properties
Crystal system   cubic
Total moment   0.00 μB/atom
Formation enthalpy at 0 K   -0.2499 eV per atom
Calculated total energy   -4.64 eV/atom


No. 2
Material: Y3MgFe8
Method: DFT, PBE
State: relaxed

The structure in POSCAR format:
```
Y3MgFe8
1.0
4.877 0.000 1.472
2.216 4.345 1.472
-0.004 -0.002 8.828
Mg Y Fe
1 3 8
Direct
0.874 0.874 0.378 Mg
0.503 0.503 0.492 Y
0.997 0.997 0.009 Y
0.376 0.376 0.873 Y
0.440 0.938 0.683 Fe
0.938 0.938 0.683 Fe
0.187 0.187 0.439 Fe
0.436 0.436 0.191 Fe
0.938 0.440 0.683 Fe
0.436 0.937 0.191 Fe
0.937 0.436 0.191 Fe
0.688 0.688 0.936 Fe
```

Properties
Crystal system   trigonal
Total moment   1.22 μB/atom
Formation enthalpy at 0 K   -0.0372 eV per atom
Calculated total energy   -7.43 eV/atom


No. 3
Material: Pr3Sm3Tl2
Method: DFT, PBE
State: relaxed

The structure in POSCAR format:
```
Pr3Sm3Tl2
1.0
5.375 0.000 0.000
-2.688 6.232 0.000
0.000 0.000 15.917
Tl Sm Pr
4 6 6
Direct
0.778 0.555 0.633 Tl
0.778 0.555 0.867 Tl
0.222 0.445 0.133 Tl
0.222 0.445 0.367 Tl
0.634 0.268 0.469 Sm
0.366 0.732 0.969 Sm
0.634 0.268 0.031 Sm
0.441 0.881 0.250 Sm
0.366 0.732 0.531 Sm
0.559 0.119 0.750 Sm
0.722 0.443 0.250 Pr
0.041 0.082 0.608 Pr
0.959 0.918 0.108 Pr
0.959 0.918 0.392 Pr
0.278 0.557 0.750 Pr
0.041 0.082 0.892 Pr
```

Properties
Crystal system   orthorhombic
Distance to the lowest polymorph of the same formula   87 meV/atom
Total moment   0.00 μB/atom
Formation enthalpy at 0 K   -0.1133 eV per atom
Calculated total energy   -4.27 eV/atom


No. 4
Material: LaRhN2F
Method: DFT, PBE
State: relaxed

The structure in POSCAR format:
```
LaRhN2F
1.0
4.382 0.000 0.000
0.000 3.824 0.000
0.000 0.000 4.382
F N La Rh
1 2 1 1
Direct
0.000 0.000 0.000 F
0.500 0.000 0.000 N
0.000 0.000 0.500 N
0.500 0.500 0.500 La
0.000 0.500 0.000 Rh
```

Properties
Crystal system   tetragonal
Distance to the lowest polymorph of the same formula   1420 meV/atom
Total moment   0.42 μB/atom
E_form (uncorrected)   0.77 eV per atom
Calculated total energy   -5.39 eV/atom